{"formula": "NiP2Cl", "functional": "PBE", "state": "relaxed", "cell": [[0.0000, 3.0762, 3.0762], [3.0762, 0.0000, 3.0762], [3.0762, 3.0762, 0.0000]], "species": ["Ni", "P", "P", "Cl"], "frac_coords": [[0.0000, 0.0000, 0.0000], [0.2500, 0.2500, 0.2500], [0.5000, 0.5000, 0.5000], [0.7500, 0.7500, 0.7500]], "e_tot_ev_per_atom": -3.9534, "formation_energy_uncorrected_ev_per_atom": 0.659, "polymorph_energy_kj_per_mol_atoms": 84.1, "crystal_system": "cubic", "sg": "F-43m"}

***

{"formula": "ZnOsPt", "functional": "PBE", "state": "relaxed", "cell": [[-1.3661, 1.3661, 5.9044], [1.3661, -1.3661, 5.9044], [1.3661, 1.3661, -5.9044]], "species": ["Zn", "Os", "Pt"], "frac_coords": [[0.0000, 0.0000, 0.0000], [0.6661, 0.6661, 0.0000], [0.3297, 0.3297, 0.0000]], "e_tot_ev_per_atom": -6.1378, "polymorph_energy_kj_per_mol_atoms": 1.9, "crystal_system": "tetragonal", "sg": "I4mm", "formation_enthalpy_0k_kj_per_mol_atoms": 4.2}

***

{"formula": "Tb2PrNdHg4", "functional": "PBE", "state": "relaxed", "cell": [[2.6862, 1.5509, 8.7633], [-2.6862, 1.5509, 8.7633], [0.0000, -3.1017, 8.7633]], "species": ["Tb", "Tb", "Pr", "Nd", "Hg", "Hg", "Hg", "Hg"], "frac_coords": [[0.2499, 0.2499, 0.2499], [0.7501, 0.7501, 0.7501], [0.0000, 0.0000, 0.0000], [0.5000, 0.5000, 0.5000], [0.1256, 0.1256, 0.1256], [0.3756, 0.3756, 0.3756], [0.6244, 0.6244, 0.6244], [0.8744, 0.8744, 0.8744]], "e_tot_ev_per_atom": -2.9697, "crystal_system": "trigonal", "sg": "R-3m", "formation_enthalpy_0k_kj_per_mol_atoms": -45.1}

***

{"formula": "SmTl2Ag", "functional": "PBE", "state": "relaxed", "cell": [[4.8312, 0.0000, 0.0000], [0.0000, 4.8312, 0.0000], [0.0000, 0.0000, 4.3920]], "species": ["Sm", "Tl", "Tl", "Ag"], "frac_coords": [[0.0000, 0.0000, 0.0000], [0.0000, 0.5000, 0.5000], [0.5000, 0.0000, 0.5000], [0.5000, 0.5000, 0.0000]], "e_tot_ev_per_atom": -3.2926, "crystal_system": "tetragonal", "sg": "P4/mmm", "formation_enthalpy_0k_kj_per_mol_atoms": -20.9}